# SiSe2 | Alexandria | PBE-GGA | optimized geometry
data_SiSe2
_symmetry_space_group_name_H-M 'P 1'
_symmetry_Int_Tables_number 1
_symmetry_space_group_name_Hall 'P 1'
_cell_length_a 3.082
_cell_length_b 3.082
_cell_length_c 26.832
_cell_angle_alpha 94.81
_cell_angle_beta 94.81
_cell_angle_gamma 51.32
loop_
_atom_site_label
_atom_site_fract_x
_atom_site_fract_y
_atom_site_fract_z
Si1 0.000 0.000 0.000
Si2 0.089 0.089 0.670
Si3 0.911 0.911 0.330
Se1 0.048 0.048 0.577
Se2 0.131 0.131 0.763
Se3 0.459 0.459 0.907
Se4 0.541 0.541 0.093
Se5 0.869 0.869 0.237
Se6 0.952 0.952 0.423
# energy relative to the elements, uncorrected: 8.5 kcal/mol of atoms
# SG: C2/m
# final energy: -33.9 eV/cell

# Si3Se4 | Alexandria | PBE-GGA | optimized geometry
data_Si3Se4
_symmetry_space_group_name_H-M 'P 1'
_symmetry_Int_Tables_number 1
_symmetry_space_group_name_Hall 'P 1'
_cell_length_a 5.326
_cell_length_b 5.326
_cell_length_c 5.425
_cell_angle_alpha 90.00
_cell_angle_beta 90.00
_cell_angle_gamma 120.00
loop_
_atom_site_label
_atom_site_fract_x
_atom_site_fract_y
_atom_site_fract_z
Si1 0.000 0.500 0.000
Si2 0.500 0.000 0.000
Si3 0.500 0.500 0.000
Se1 0.000 0.000 0.251
Se2 0.000 0.000 0.749
Se3 0.333 0.667 0.500
Se4 0.667 0.333 0.500
# energy relative to the elements, uncorrected: 13.4 kcal/mol of atoms
# SG: P6/mmm
# offset from the most stable computed form: 0.537 eV/atom
# final energy: -26.1 eV/cell

> Look up the final energy of the second one.

-26.1 eV/cell

> Among the records above, which one has the highest final energy?

Si3Se4

> What is the energy relative to the elements, uncorrected in the second record?

13.4 kcal/mol of atoms

> Which of these has the lowest final energy?

SiSe2